First-principles (PBE-GGA) data for a relaxed structure of SrTlSb2, as listed in Alexandria.

Lattice parameters (Å, degrees): 4.951 4.952 4.951 90.00 90.00 90.00
Fractional coordinates of all 4 atoms:
Sb 0.500 0.125 0.375
Tl 0.500 0.626 0.875
Sr 0.000 0.625 0.375
Sb 0.000 0.125 0.875

## Properties
E above lowest polymorph (meV/atom): 0
Formation energy from raw total energies (eV per atom): -0.46

=====

First-principles (PBE-GGA) data for a relaxed structure of SrTl6Sb3, as listed in Alexandria.

Lattice parameters (Å, degrees): 4.833 11.688 12.746 110.63 90.00 90.00
Fractional coordinates of all 20 atoms:
Tl 0.250 0.546 0.881
Tl 0.750 0.801 0.323
Sb 0.750 0.070 0.064
Tl 0.250 0.199 0.677
Sb 0.250 0.930 0.936
Tl 0.750 0.454 0.119
Tl 0.250 0.565 0.399
Sb 0.250 0.654 0.167
Tl 0.250 0.287 0.218
Tl 0.750 0.713 0.782
Sb 0.250 0.270 0.458
Tl 0.250 0.902 0.525
Sb 0.750 0.730 0.542
Sr 0.250 0.979 0.224
Tl 0.750 0.435 0.601
Tl 0.250 0.240 0.956
Sr 0.750 0.021 0.776
Sb 0.750 0.346 0.833
Tl 0.750 0.760 0.044
Tl 0.750 0.098 0.475

## Properties
Formation energy from raw total energies (eV per atom): -0.13

=====

First-principles (PBE-GGA) data for a relaxed structure of SrTlSb2, as listed in Alexandria.

Lattice parameters (Å, degrees): 3.586 3.586 9.958 90.00 90.00 90.01
Fractional coordinates of all 4 atoms:
Sb 0.000 0.000 0.491
Sb 0.000 0.000 0.009
Tl 0.500 0.500 0.750
Sr 0.500 0.500 0.250

## Properties
E above lowest polymorph (meV/atom): 120
Formation energy from raw total energies (eV per atom): -0.34

=====

Question: formation energy from raw total energies of number 3 (SrTlSb2)?
Answer: -0.34 eV per atom

=====

Question: What is the formula in the third record?
Answer: SrTlSb2

=====

Question: Among the records above, which one has the lowest formation energy from raw total energies?
Answer: number 1